# Sr2AgIrN

A geometry-optimized Sr2AgIrN structure (GGA-PBE, the Open Quantum Materials Database).

total magnetic moment = 0.00 μB per formula unit
total DFT energy (no corrections) = -25.969 eV per formula unit

Unit cell a=5.470 b=5.470 c=3.796 alpha=90.00 beta=90.00 gamma=90.00
Sites, in units of the cell vectors:
1 Sr 0.000 0.500 0.000
2 Sr 0.500 0.000 0.000
3 Ag 0.000 0.000 0.500
4 Ir 0.500 0.500 0.500
5 N 0.500 0.500 0.000

# NaAgIr

A geometry-optimized NaAgIr structure (GGA-PBE, the Open Quantum Materials Database).

total magnetic moment = 0.78 μB per formula unit
total DFT energy (no corrections) = -9.079 eV per formula unit

Unit cell a=4.397 b=4.397 c=4.397 alpha=60.00 beta=60.00 gamma=60.00
Sites, in units of the cell vectors:
1 Na 0.000 0.000 0.000
2 Ag 0.750 0.750 0.750
3 Ir 0.250 0.250 0.250

# NaAgIrO3

A geometry-optimized NaAgIrO3 structure (GGA-PBE, the Open Quantum Materials Database).

total magnetic moment = 1.00 μB per formula unit
total DFT energy (no corrections) = -32.247 eV per formula unit

Unit cell a=11.737 b=3.180 c=8.497 alpha=90.00 beta=90.00 gamma=90.00
Sites, in units of the cell vectors:
1 Na 0.216 0.250 0.138
2 Na 0.284 0.750 0.638
3 Na 0.716 0.250 0.362
4 Na 0.784 0.750 0.862
5 Ag 0.098 0.250 0.479
6 Ag 0.402 0.750 0.979
7 Ag 0.598 0.250 0.021
8 Ag 0.902 0.750 0.521
9 Ir 0.036 0.250 0.860
10 Ir 0.464 0.750 0.360
11 Ir 0.536 0.250 0.640
12 Ir 0.964 0.750 0.140
13 O 0.040 0.250 0.244
14 O 0.106 0.750 0.983
15 O 0.160 0.250 0.712
16 O 0.340 0.750 0.212
17 O 0.394 0.250 0.483
18 O 0.460 0.750 0.744
19 O 0.540 0.250 0.256
20 O 0.606 0.750 0.517
21 O 0.660 0.250 0.788
22 O 0.840 0.750 0.288
23 O 0.894 0.250 0.017
24 O 0.960 0.750 0.756

# Na3Ag2IrO6

A geometry-optimized Na3Ag2IrO6 structure (GGA-PBE, the Open Quantum Materials Database).

total magnetic moment = 0.01 μB per formula unit
total DFT energy (no corrections) = -58.177 eV per formula unit

Unit cell a=5.682 b=5.682 c=5.541 alpha=101.73 beta=101.73 gamma=117.56
Sites, in units of the cell vectors:
1 Na 0.000 0.000 0.000
2 Na 0.323 0.677 0.000
3 Na 0.677 0.323 0.000
4 Ag 0.167 0.833 0.500
5 Ag 0.833 0.167 0.500
6 Ir 0.500 0.500 0.500
7 O 0.143 0.435 0.272
8 O 0.288 0.288 0.695
9 O 0.435 0.143 0.272
10 O 0.565 0.857 0.728
11 O 0.712 0.712 0.305
12 O 0.857 0.565 0.728

# NaReAgIr

A geometry-optimized NaReAgIr structure (GGA-PBE, the Open Quantum Materials Database).

total magnetic moment = 0.02 μB per formula unit
excess energy over the best structure of this formula in the dataset = 0 meV per atom

Unit cell a=4.459 b=4.459 c=4.459 alpha=60.00 beta=60.00 gamma=60.00
Sites, in units of the cell vectors:
1 Na 0.000 0.000 0.000
2 Re 0.250 0.250 0.250
3 Ag 0.750 0.750 0.750
4 Ir 0.500 0.500 0.500

# NaReAgIr

A geometry-optimized NaReAgIr structure (GGA-PBE, the Open Quantum Materials Database).

total magnetic moment = 0.01 μB per formula unit
excess energy over the best structure of this formula in the dataset = 20 meV per atom

Unit cell a=4.480 b=4.480 c=4.480 alpha=60.00 beta=60.00 gamma=60.00
Sites, in units of the cell vectors:
1 Na 0.000 0.000 0.000
2 Re 0.500 0.500 0.500
3 Ag 0.250 0.250 0.250
4 Ir 0.750 0.750 0.750

# NaAg3IrS4

A geometry-optimized NaAg3IrS4 structure (GGA-PBE, the Open Quantum Materials Database).

total magnetic moment = 0.68 μB per formula unit
total DFT energy (no corrections) = -35.543 eV per formula unit

Unit cell a=6.124 b=6.124 c=6.124 alpha=90.00 beta=90.00 gamma=90.00
Sites, in units of the cell vectors:
1 Na 0.000 0.000 0.000
2 Ag 0.000 0.500 0.500
3 Ag 0.500 0.000 0.500
4 Ag 0.500 0.500 0.000
5 Ir 0.500 0.500 0.500
6 S 0.280 0.280 0.280
7 S 0.280 0.720 0.720
8 S 0.720 0.280 0.720
9 S 0.720 0.720 0.280

# NaAgIrSe2S

A geometry-optimized NaAgIrSe2S structure (GGA-PBE, the Open Quantum Materials Database).

total magnetic moment = 0.23 μB per formula unit
total DFT energy (no corrections) = -25.435 eV per formula unit

Unit cell a=6.960 b=6.960 c=9.829 alpha=90.00 beta=90.00 gamma=148.45
Sites, in units of the cell vectors:
1 Na 0.243 0.757 0.750
2 Na 0.757 0.243 0.250
3 Ag 0.065 0.935 0.250
4 Ag 0.935 0.065 0.750
5 Ir 0.500 0.500 0.000
6 Ir 0.500 0.500 0.500
7 Se 0.128 0.872 0.009
8 Se 0.128 0.872 0.491
9 Se 0.872 0.128 0.509
10 Se 0.872 0.128 0.991
11 S 0.435 0.565 0.250
12 S 0.565 0.435 0.750

# NaAgTe2IrS

A geometry-optimized NaAgTe2IrS structure (GGA-PBE, the Open Quantum Materials Database).

total magnetic moment = 0.03 μB per formula unit
total DFT energy (no corrections) = -24.299 eV per formula unit

Unit cell a=7.003 b=7.003 c=10.217 alpha=90.00 beta=90.00 gamma=146.45
Sites, in units of the cell vectors:
1 Na 0.246 0.754 0.750
2 Na 0.754 0.246 0.250
3 Ag 0.447 0.553 0.250
4 Ag 0.553 0.447 0.750
5 Te 0.365 0.635 0.010
6 Te 0.365 0.635 0.490
7 Te 0.635 0.365 0.510
8 Te 0.635 0.365 0.990
9 Ir 0.000 0.000 0.000
10 Ir 0.000 0.000 0.500
11 S 0.063 0.937 0.250
12 S 0.937 0.063 0.750

# NaAgTeIrS2

A geometry-optimized NaAgTeIrS2 structure (GGA-PBE, the Open Quantum Materials Database).

total magnetic moment = 0.00 μB per formula unit
total DFT energy (no corrections) = -26.043 eV per formula unit

Unit cell a=7.766 b=7.766 c=10.199 alpha=90.00 beta=90.00 gamma=153.28
Sites, in units of the cell vectors:
1 Na 0.236 0.764 0.750
2 Na 0.764 0.236 0.250
3 Ag 0.106 0.894 0.250
4 Ag 0.894 0.106 0.750
5 Te 0.437 0.563 0.250
6 Te 0.563 0.437 0.750
7 Ir 0.500 0.500 0.000
8 Ir 0.500 0.500 0.500
9 S 0.107 0.893 0.017
10 S 0.107 0.893 0.483
11 S 0.893 0.107 0.517
12 S 0.893 0.107 0.983

no.,ρ (g/cm³)
1,7.15
2,8.92
3,7.77
4,6.52
5,13.49
6,13.30
7,4.82
8,6.84
9,7.32
10,6.18